Record 1
This record from OQMD describes a relaxed Pr3AlGaFe4 crystal. The functional is PBE.

E_tot	-6.133	eV per atom

extended XYZ file:
```
9
Lattice="-1.176 -0.414 5.534 -0.317 -4.167 3.836 8.109 1.685 0.378" Properties=species:S:1:pos:R:3 pbc="T T T"
Fe 5.660 -2.750 8.941
Fe 3.562 -2.476 7.274
Fe 3.059 -0.424 2.484
Fe 0.964 -0.145 0.808
Ga 5.387 -0.273 3.329
Al 1.244 -2.621 6.422
Pr 0.432 -1.504 3.542
Pr 4.047 0.839 0.193
Pr 6.166 -1.389 6.188
```

---

Record 2
This record from OQMD describes a relaxed TmAl4GaFe crystal. The functional is PBE.

E_tot	-4.819	eV per atom

extended XYZ file:
```
7
Lattice="4.169 0.000 0.000 0.000 4.169 0.000 0.000 0.000 6.863" Properties=species:S:1:pos:R:3 pbc="T T T"
Al 2.085 0.000 4.717
Al 2.085 0.000 2.146
Al 0.000 2.085 2.146
Al 0.000 2.085 4.717
Tm 0.000 0.000 0.000
Ga 2.085 2.085 0.000
Fe 0.000 0.000 3.431
```

---

Record 3
This record from OQMD describes a relaxed Tm2AlGaFe4 crystal. The functional is PBE.

E_tot	-6.443	eV per atom

extended XYZ file:
```
8
Lattice="-2.275 -2.139 -2.393 -2.441 -1.759 3.893 -4.384 5.140 -0.427" Properties=species:S:1:pos:R:3 pbc="T T T"
Al -3.655 4.287 -0.356
Ga -1.924 -0.055 1.878
Tm -1.975 -0.087 -1.278
Tm -5.914 2.220 0.404
Fe -3.763 2.009 -1.452
Fe -4.125 0.123 0.578
Fe -2.806 2.134 0.761
Fe -4.026 1.255 2.705
```

---

The highest E_tot belongs to which entry? TmAl4GaFe

---

Please write out number 2 again, unchanged.
This record from OQMD describes a relaxed TmAl4GaFe crystal. The functional is PBE.

E_tot	-4.819	eV per atom

extended XYZ file:
```
7
Lattice="4.169 0.000 0.000 0.000 4.169 0.000 0.000 0.000 6.863" Properties=species:S:1:pos:R:3 pbc="T T T"
Al 2.085 0.000 4.717
Al 2.085 0.000 2.146
Al 0.000 2.085 2.146
Al 0.000 2.085 4.717
Tm 0.000 0.000 0.000
Ga 2.085 2.085 0.000
Fe 0.000 0.000 3.431
```

---

E_tot of number 3 (Tm2AlGaFe4)? -6.443 eV per atom